No. 1
# HfUMo

A relaxed structure of HfUMo (PBE-GGA, Alexandria via LeMat-Bulk).

Results
Magnetic moment ... 0.3719 μB/atom
N(E_F) ... 5.32 states/eV per cell
Energy above the lowest structure with this stoichiometry ... 39 meV per atom

Cell: 4.7304 4.7304 2.9961 Å, 90.00 90.00 120.00°
Space group P3m1 (No. 156)
Inequivalent atoms, fractional coordinates:
Hf 0.0000 0.0000 0.0000 (multiplicity 1)
U 0.6667 0.3333 0.6069 (multiplicity 1)
Mo 0.3333 0.6667 0.3738 (multiplicity 1)

---

No. 2
# Hf3V8Mo

A relaxed structure of Hf3V8Mo (PBE-GGA, Alexandria via LeMat-Bulk).

Results
Magnetic moment ... 0.0000 μB/atom
N(E_F) ... 19.46 states/eV per cell
Energy above the lowest structure with this stoichiometry ... 0 meV per atom

Cell: 5.1404 5.1404 8.2625 Å, 90.00 90.00 120.00°
Space group P3m1 (No. 156)
Inequivalent atoms, fractional coordinates:
Hf 0.0000 0.0000 0.0000 (multiplicity 1)
Hf 0.0000 0.0000 0.3782 (multiplicity 1)
Hf 0.3333 0.6667 0.8679 (multiplicity 1)
V 0.0073 0.5037 0.1936 (multiplicity 3)
V 0.3280 0.1640 0.6825 (multiplicity 3)
V 0.6667 0.3333 0.4390 (multiplicity 1)
V 0.6667 0.3333 0.9365 (multiplicity 1)
Mo 0.3333 0.6667 0.4985 (multiplicity 1)

---

No. 3
# HfVMo2

A relaxed structure of HfVMo2 (PBE-GGA, Alexandria via LeMat-Bulk).

Results
Magnetic moment ... 0.0000 μB/atom
N(E_F) ... 5.95 states/eV per cell
Energy above the lowest structure with this stoichiometry ... 0 meV per atom

Cell: 3.168 3.168 6.552 Å, 90.00 90.00 90.00°
Space group P4/mmm (No. 123)
Inequivalent atoms, fractional coordinates:
Hf 0.000 0.000 0.000 (multiplicity 1)
V 0.000 0.000 0.500 (multiplicity 1)
Mo 0.500 0.500 0.273 (multiplicity 2)